1.
This record from the Alexandria database describes crystalline SiPt2Au at its relaxed geometry. The functional is GGA-PBEsol.

Calculated values
The value obtained for the total energy is -6.21 eV per atom. The total magnetic moment is 0.00 μB/cell.

```
SiPt2Au
1.0
3.3467 0.0000 0.0000
0.0000 3.6694 0.0000
-1.5893 0.0000 5.0849
Si Pt Au
1 2 1
Cartesian
0.0000 0.0000 0.0000
0.8875 1.8347 1.1578
0.8699 1.8347 3.9271
-0.7947 0.0000 2.5425
```

=====

2.
This record from the Alexandria database describes crystalline Ca2MgBiPt at its relaxed geometry. The functional is GGA-PBEsol.

Calculated values
The value obtained for the total energy is -3.15 eV per atom. As for the energy relative to the elements: 0.299 eV/atom. The total magnetic moment is 0.00 μB/cell.

```
Ca2MgBiPt
1.0
5.7882 0.0000 0.0000
0.0000 5.7882 0.0000
0.0000 0.0000 5.1934
Ca Mg Bi Pt
2 1 1 1
Cartesian
0.0000 2.8941 0.0000
2.8941 0.0000 0.0000
0.0000 0.0000 2.5967
0.0000 0.0000 0.0000
2.8941 2.8941 2.5967
```

=====

3.
This record from the Alexandria database describes crystalline CaTl2BS at its relaxed geometry. The functional is GGA-PBEsol.

Calculated values
The value obtained for the total energy is -2.67 eV per atom. The total magnetic moment is 0.00 μB/cell.

```
CaTl2BS
1.0
5.9212 0.0000 0.0000
0.0000 5.9212 0.0000
0.0000 0.0000 4.9416
Ca Tl B S
1 2 1 1
Cartesian
0.0000 0.0000 0.0000
0.0000 2.9606 0.0000
2.9606 0.0000 0.0000
2.9606 2.9606 2.4708
0.0000 0.0000 2.4708
```

=====

4.
This record from the Alexandria database describes crystalline CoSn2B2 at its relaxed geometry. The functional is GGA-PBEsol.

Calculated values
The value obtained for the total energy is -5.30 eV per atom. As for the energy relative to the elements: 0.758 eV/atom. The total magnetic moment is 0.29 μB/cell.

```
CoSn2B2
1.0
-1.4652 1.4652 7.7168
1.4652 -1.4652 7.7168
1.4652 1.4652 -7.7168
Co Sn B
1 2 2
Cartesian
0.0000 0.0000 0.0000
0.0000 0.0000 6.0353
0.0000 0.0000 9.3984
1.4652 0.0000 3.8584
0.0000 1.4652 3.8584
```

=====

5.
This record from the Alexandria database describes crystalline Lu2GaNi2 at its relaxed geometry. The functional is GGA-PBEsol.

Calculated values
The value obtained for the total energy is -5.73 eV per atom. As for the energy relative to the elements: -0.646 eV/atom. The total magnetic moment is 0.00 μB/cell.

```
Lu2GaNi2
1.0
-2.0463 2.5964 3.9471
2.0463 -2.5964 3.9471
2.0463 2.5964 -3.9471
Lu Ga Ni
2 1 2
Cartesian
0.0000 0.0000 1.5918
0.0000 0.0000 6.3025
0.0000 2.5964 0.0000
2.0463 1.2057 0.0000
0.0000 1.3907 3.9471
```

=====

6.
This record from the Alexandria database describes crystalline MgZn3In at its relaxed geometry. The functional is GGA-PBEsol.

Calculated values
The value obtained for the total energy is -1.33 eV per atom. As for the energy relative to the elements: 0.562 eV/atom. The total magnetic moment is 0.00 μB/cell.

```
MgZn3In
1.0
5.0665 0.0000 0.0000
0.0000 5.0665 0.0000
0.0000 0.0000 5.0665
Mg Zn In
1 3 1
Cartesian
0.0000 0.0000 0.0000
0.0000 2.5332 2.5332
2.5332 0.0000 2.5332
2.5332 2.5332 0.0000
2.5332 2.5332 2.5332
```

=====

7.
This record from the Alexandria database describes crystalline ScMoBr2 at its relaxed geometry. The functional is GGA-PBEsol.

Calculated values
The value obtained for the total energy is -5.45 eV per atom. The value obtained for the energy above the most stable polymorph in this dataset is 457 meV per atom. The total magnetic moment is 1.13 μB/cell.

```
ScMoBr2
1.0
3.0991 0.0000 0.0000
0.0000 4.3890 0.0000
0.0000 0.0000 5.8636
Sc Mo Br
1 1 2
Cartesian
0.0000 0.0000 0.0000
1.5495 0.0000 2.9318
0.0000 2.1945 2.9318
1.5495 2.1945 0.0000
```

=====

8.
This record from the Alexandria database describes crystalline Li2Fe3NiO8 at its relaxed geometry. The functional is GGA-PBEsol.

Calculated values
The value obtained for the total energy is -7.05 eV per atom. The total magnetic moment is 8.02 μB/cell.

```
Li2Fe3NiO8
1.0
5.5036 0.0000 0.0000
-2.7518 4.7663 0.0000
0.0000 0.0000 9.3439
Li Fe Ni O
4 6 2 16
Cartesian
0.0000 0.0000 0.0000
0.0000 0.0000 4.6719
0.0000 3.1775 3.7487
2.7518 1.5888 8.4206
0.0000 1.6675 6.7090
-1.3077 3.9325 6.7090
1.4441 0.8338 2.0371
1.3077 3.9325 6.7090
4.0595 0.8338 2.0371
2.7518 3.0988 2.0371
0.0000 3.1775 9.3029
2.7518 1.5888 4.6310
0.0000 0.0000 2.9217
0.0000 0.0000 7.5936
-1.2270 2.4691 7.8673
0.0000 1.5493 1.0385
-1.4101 3.9916 1.0385
1.3417 0.7746 5.7104
0.0000 3.1775 5.6226
1.2270 2.4691 7.8673
0.0000 4.5943 7.8673
2.7518 0.1719 3.1954
1.5248 2.2972 3.1954
2.7518 1.5888 0.9506
1.4101 3.9916 1.0385
4.1619 0.7746 5.7104
2.7518 3.2170 5.7104
3.9788 2.2972 3.1954
```

=====

9.
This record from the Alexandria database describes crystalline Hf3TlSb at its relaxed geometry. The functional is GGA-PBEsol.

Calculated values
The value obtained for the total energy is -6.84 eV per atom. The value obtained for the energy above the most stable polymorph in this dataset is 0 meV per atom. The total magnetic moment is 0.00 μB/cell.

```
Hf3TlSb
1.0
5.1775 0.0000 0.0000
0.0000 5.1775 0.0000
0.0000 0.0000 5.1775
Hf Tl Sb
3 1 1
Cartesian
0.0000 0.0000 2.5887
0.0000 2.5887 0.0000
2.5887 0.0000 0.0000
2.5887 2.5887 2.5887
0.0000 0.0000 0.0000
```

=====

10.
This record from the Alexandria database describes crystalline SrCaOs2 at its relaxed geometry. The functional is GGA-PBEsol.

Calculated values
The value obtained for the total energy is -6.20 eV per atom. The value obtained for the energy above the most stable polymorph in this dataset is 0 meV per atom. As for the energy relative to the elements: 0.906 eV/atom. The total magnetic moment is 0.00 μB/cell.

```
SrCaOs2
1.0
0.0000 3.3760 3.3760
3.3760 0.0000 3.3760
3.3760 3.3760 0.0000
Sr Ca Os
1 1 2
Cartesian
0.0000 0.0000 0.0000
5.0640 5.0640 5.0640
1.6880 1.6880 1.6880
3.3760 3.3760 3.3760
```

=====

11.
This record from the Alexandria database describes crystalline Mg2ZnIr2 at its relaxed geometry. The functional is GGA-PBEsol.

Calculated values
The value obtained for the total energy is -4.68 eV per atom. As for the energy relative to the elements: 0.255 eV/atom. The total magnetic moment is 0.00 μB/cell.

```
Mg2ZnIr2
1.0
-1.7904 1.7904 7.1789
1.7904 -1.7904 7.1789
1.7904 1.7904 -7.1789
Mg Zn Ir
2 1 2
Cartesian
0.0000 0.0000 1.5142
0.0000 0.0000 12.8436
0.0000 0.0000 7.1789
1.7904 0.0000 3.5895
0.0000 1.7904 3.5895
```

=====

12.
This record from the Alexandria database describes crystalline Nb10C7 at its relaxed geometry. The functional is GGA-PBEsol.

Calculated values
The value obtained for the total energy is -10.88 eV per atom. As for the energy relative to the elements: -0.541 eV/atom. The total magnetic moment is 0.00 μB/cell.

```
Nb10C7
1.0
2.7266 -7.8020 0.0000
2.7266 7.8020 0.0000
-1.8330 0.0000 5.1496
Nb C
10 7
Cartesian
0.9709 3.0596 1.1958
0.0000 1.5948 3.8180
0.8089 0.0000 1.3563
0.0000 -1.5948 3.8180
0.9709 -3.0596 1.1958
2.6494 3.0596 3.9538
3.6203 1.5948 1.3316
2.8113 0.0000 3.7933
3.6203 -1.5948 1.3316
2.6494 -3.0596 3.9538
-0.9165 0.0000 2.5748
2.7266 6.2265 0.0000
2.7266 3.1155 0.0000
1.8101 1.5731 2.5748
1.8101 -1.5731 2.5748
2.7266 -3.1155 0.0000
2.7266 -6.2265 0.0000
```